# MnTeAu4 | Alexandria | GGA-PBEsol | optimized geometry
# E_tot in eV/atom: -4.628
# Total magnetization in μB/f.u.: 4.89
# Energy relative to the elements, uncorrected in eV per atom: 0.203
data_MnTeAu4
_cell_length_a 7.732
_cell_length_b 7.732
_cell_length_c 7.732
_cell_angle_alpha 90.00
_cell_angle_beta 90.00
_cell_angle_gamma 90.00
_symmetry_space_group_name_H-M 'F -4 3 m'
_symmetry_Int_Tables_number 216
_symmetry_space_group_name_Hall 'F -4 2 3'
loop_
_atom_site_label
_atom_site_type_symbol
_atom_site_fract_x
_atom_site_fract_y
_atom_site_fract_z
Mn1 Mn 0.000 0.000 0.000
Te1 Te 0.250 0.250 0.750
Au1 Au 0.125 0.125 0.375